# 1
Here is a geometry-optimized PmPrSmMg structure from Alexandria via LeMat-Bulk. Energies are from PBE.

```
4
Lattice="-4.208 3.321 -1.798 -3.721 2.103 3.701 0.037 5.521 1.219" Properties=species:S:1:pos:R:3 pbc="T T T"
Mg -5.918 8.208 2.342
Pm -3.946 5.472 1.561
Sm -1.973 2.736 0.781
Pr 0.000 0.000 0.000
```

Summary:
* excess energy over the best structure of this formula in the dataset: 0.0821 eV/atom

***

# 2
Here is a geometry-optimized Pm2Pr6SmMg structure from Alexandria via LeMat-Bulk. Energies are from PBE.

```
20
Lattice="9.366 -2.295 -2.381 0.796 8.613 -1.772 0.796 -2.090 8.541" Properties=species:S:1:pos:R:3 pbc="T T T"
Pr 6.672 1.423 3.602
Pr 8.705 -0.243 5.851
Mg 7.820 2.567 0.610
Mg 3.137 1.661 3.778
Pr 4.022 7.003 1.164
Pr 8.968 -0.466 1.642
Pr 5.856 4.947 -1.650
Pm 5.354 4.379 3.612
Pr 6.934 -2.775 3.223
Sm 7.820 -3.621 6.572
Pr 5.100 -0.719 6.037
Pm 5.603 -0.151 0.776
Pr 9.783 4.913 -1.685
Pr 4.285 2.805 0.786
Sm 3.137 7.849 -2.185
Pm 10.037 2.299 3.320
Pr 1.989 4.694 2.746
Pm 0.920 1.929 1.068
Pr 2.251 4.471 -1.463
Pr 1.173 -0.684 6.073
```

***

# 3
Here is a geometry-optimized Pm2Pr4Sm2Mg structure from Alexandria via LeMat-Bulk. Energies are from PBE.

```
9
Lattice="6.832 1.199 0.883 -0.051 8.658 2.102 -2.782 -3.179 4.180" Properties=species:S:1:pos:R:3 pbc="T T T"
Pr 2.961 7.669 3.082
Pm 4.583 1.200 3.427
Pr 1.037 -0.990 4.083
Mg 0.000 0.000 0.000
Pr 2.918 4.614 4.703
Pr 1.081 2.064 2.462
Sm -1.080 1.927 5.233
Sm 5.079 4.752 1.932
Pm -0.584 5.478 3.738
```

***

# 4
Here is a geometry-optimized Pm3Pr6Sm2Mg structure from Alexandria via LeMat-Bulk. Energies are from PBE.

```
12
Lattice="6.338 -0.004 -0.006 -3.171 5.488 -0.006 -1.050 -1.819 11.846" Properties=species:S:1:pos:R:3 pbc="T T T"
Pm 1.058 1.832 5.917
Pr 0.020 3.669 8.907
Pr 0.000 -0.001 8.897
Mg 0.000 0.000 0.000
Pm -2.110 3.662 5.917
Pr 3.167 1.851 8.907
Pr 2.117 3.665 2.937
Pr -1.051 1.814 2.927
Sm 3.173 1.824 -0.006
Pr 2.096 -0.004 2.927
Pm 4.227 0.002 5.917
Sm -0.006 3.660 -0.006
```

***

# 5
Here is a geometry-optimized Pm4Pr2SmMg structure from Alexandria via LeMat-Bulk. Energies are from PBE.

```
16
Lattice="-2.909 1.808 -8.964 -7.094 -6.419 0.749 3.863 7.710 8.193" Properties=species:S:1:pos:R:3 pbc="T T T"
Mg 0.954 9.517 -0.770
Pm -0.629 2.583 1.929
Pm -3.895 -0.128 -6.676
Pm -2.085 3.488 -2.297
Pm -3.693 4.143 1.905
Pr -5.001 -2.306 -4.108
Pr -1.454 0.904 -4.482
Pm -5.511 0.515 -1.951
Pm -2.245 3.227 6.654
Pr -5.163 -2.564 4.845
Sm -4.524 2.453 -4.493
Pm -4.054 -0.390 2.276
Sm -3.547 -3.210 0.374
Pr 0.477 4.759 -0.385
Mg -3.070 1.549 -0.011
Pm -2.447 -1.045 -1.927
```

***

# 6
Here is a geometry-optimized PmPr2Sm4Mg structure from Alexandria via LeMat-Bulk. Energies are from PBE.

```
8
Lattice="-3.283 -2.308 -3.073 -2.203 -2.199 4.006 -8.659 5.844 4.861" Properties=species:S:1:pos:R:3 pbc="T T T"
Pm -5.431 1.822 4.434
Sm -8.707 2.705 3.113
Pr -8.659 5.844 4.861
Pr -5.971 1.768 0.894
Mg -2.743 -2.254 0.467
Sm -5.976 -1.425 -0.859
Sm -5.439 -1.369 2.682
Sm -8.169 2.761 6.653
```

***

# 7
Here is a geometry-optimized PmPr4Sm2Mg structure from Alexandria via LeMat-Bulk. Energies are from PBE.

```
8
Lattice="5.888 0.000 0.000 0.000 5.682 1.556 0.000 3.626 9.082" Properties=species:S:1:pos:R:3 pbc="T T T"
Pr 2.944 4.107 7.323
Sm 2.944 1.813 4.541
Pm 0.000 4.654 5.319
Pr 2.944 5.200 3.314
Sm 0.000 3.626 9.082
Pr 5.888 2.362 2.531
Mg 2.944 2.841 0.778
Pr 0.000 6.946 8.106
```

***

# 8
Here is a geometry-optimized PmPrSm2Mg structure from Alexandria via LeMat-Bulk. Energies are from PBE.

```
10
Lattice="-1.663 6.958 -1.781 -3.620 0.762 6.356 5.117 1.910 2.685" Properties=species:S:1:pos:R:3 pbc="T T T"
Sm -0.258 2.872 1.896
Mg 0.000 0.000 0.000
Pm 3.223 4.006 1.355
Pr -1.924 6.688 2.357
Mg 2.558 0.955 1.343
Pr 1.758 2.942 4.903
Sm -1.846 3.207 4.686
Sm 0.092 6.758 5.364
Pm 0.231 4.862 -0.451
Sm 1.680 6.423 2.574
```

***

# 9
Here is a geometry-optimized PmPr2Sm5Mg structure from Alexandria via LeMat-Bulk. Energies are from PBE.

```
18
Lattice="-1.259 -4.238 3.410 8.212 -3.355 -5.708 6.750 3.944 7.393" Properties=species:S:1:pos:R:3 pbc="T T T"
Pr 6.591 1.569 4.383
Pr 3.769 -0.084 1.287
Sm 10.179 -5.440 1.569
Pm 3.112 -2.174 -1.552
Sm 8.047 -1.236 6.006
Mg 0.854 -3.121 1.008
Sm 3.966 -3.621 1.534
Sm 1.116 -1.102 3.613
Pm 7.327 -3.381 3.073
Mg 9.579 -2.438 0.507
Pr 6.674 -5.472 0.234
Sm 6.473 -1.935 -0.015
Sm 0.261 -0.115 -0.047
Pr 10.596 -3.177 4.534
Sm 5.845 -4.146 -2.994
Sm 9.141 -0.376 2.908
Sm 4.595 -1.409 4.517
Sm 12.698 -2.481 1.604
```

***

# 10
Here is a geometry-optimized PmPrSm3Mg structure from Alexandria via LeMat-Bulk. Energies are from PBE.

```
12
Lattice="6.045 0.000 0.000 -3.023 9.579 3.253 0.000 0.262 7.088" Properties=species:S:1:pos:R:3 pbc="T T T"
Pr 0.000 6.017 8.688
Sm 3.023 0.629 1.751
Sm 3.023 7.040 6.967
Pm 3.023 3.549 5.217
Sm 3.023 6.857 3.250
Pr 3.023 3.823 1.654
Sm 0.000 2.984 7.091
Mg 3.023 9.510 4.983
Sm 0.000 2.801 3.375
Sm 0.000 9.212 8.591
Pm 0.000 6.292 5.125
Mg 0.000 0.331 5.359
```

***

# 11
Here is a geometry-optimized Pm6Pr2SmMg structure from Alexandria via LeMat-Bulk. Energies are from PBE.

```
20
Lattice="-4.600 7.263 4.476 -3.181 2.098 -8.013 -4.358 -6.325 4.443" Properties=species:S:1:pos:R:3 pbc="T T T"
Pm -4.675 2.008 -0.997
Pm -5.486 4.809 -3.029
Pm -3.929 -4.137 2.593
Pr -10.054 3.336 2.200
Pm -4.918 -0.839 -2.944
Sm -4.352 3.766 -6.676
Pm -5.692 1.438 5.622
Pm -6.447 1.598 -4.716
Pr -4.500 2.506 2.163
Pm -7.464 1.028 1.903
Pm -2.724 2.592 -3.692
Mg -7.112 4.107 0.429
Pm -9.415 0.444 4.598
Sm -7.787 -0.730 7.583
Pr -2.085 -0.301 -1.294
Pr -7.639 0.530 -1.257
Mg -5.028 -1.071 0.477
Pm -6.653 -1.773 3.935
Pm -7.221 3.875 3.850
Pm -8.210 7.173 -1.687
```

***

# 12
Here is a geometry-optimized Pm4Pr2Sm2Mg structure from Alexandria via LeMat-Bulk. Energies are from PBE.

```
9
Lattice="7.474 0.740 -1.619 -0.937 8.892 -0.243 -4.370 -4.812 5.749" Properties=species:S:1:pos:R:3 pbc="T T T"
Pm 3.804 5.599 1.184
Pr -0.268 5.249 1.729
Pm -1.637 -0.779 2.702
Pm 1.870 2.689 0.330
Sm -3.089 1.876 4.569
Pr 2.435 -0.429 2.158
Sm 5.256 2.944 -0.682
Mg 0.000 0.000 0.000
Pm 0.296 2.130 3.557
```

***

# 13
Here is a geometry-optimized Pm2PrMg2Sn2 structure from Alexandria via LeMat-Bulk. Energies are from PBE.

```
7
Lattice="-1.715 4.217 -2.102 -4.935 0.865 -0.220 -1.846 5.862 7.284" Properties=species:S:1:pos:R:3 pbc="T T T"
Pm -1.991 4.226 4.121
Sn -2.138 2.573 0.926
Pm -6.504 6.718 0.841
Pr 0.000 0.000 0.000
Mg -4.143 6.644 4.746
Mg -4.352 4.300 0.215
Sn -6.357 8.371 4.035
```

***

# 14
Here is a geometry-optimized Tb2Pm6PrMg structure from Alexandria via LeMat-Bulk. Energies are from PBE.

```
20
Lattice="8.658 -1.662 -1.725 1.158 8.856 -2.210 1.158 -2.537 8.768" Properties=species:S:1:pos:R:3 pbc="T T T"
Pm 5.137 -1.135 6.424
Pm 8.783 -0.475 2.440
Pm 1.508 -0.974 6.591
Pm 7.806 6.005 1.401
Pr 7.652 -3.408 7.112
Pm 4.454 3.287 0.479
Tb 5.434 0.198 1.409
Mg 7.652 2.612 1.311
Tb 9.870 2.425 3.720
Pm 3.477 2.008 6.915
Pm 6.521 1.369 4.354
Pm 2.192 5.131 2.392
Mg 3.323 2.044 3.521
Pm 3.168 -1.349 3.432
Tb 1.105 2.231 1.112
Tb 5.541 4.459 3.424
Pm 7.497 2.648 -2.083
Pr 3.323 8.065 -2.280
Pm 9.466 5.631 -1.758
Pm 5.837 5.791 -1.592
```

***

# 15
Here is a geometry-optimized Tb2Pm4PrMg structure from Alexandria via LeMat-Bulk. Energies are from PBE.

```
8
Lattice="5.879 0.000 0.000 0.000 9.576 -0.345 0.000 3.769 4.508" Properties=species:S:1:pos:R:3 pbc="T T T"
Tb 0.000 3.769 4.508
Pm 0.000 9.965 3.159
Mg 0.000 6.673 2.081
Pm 2.939 5.269 3.256
Tb 2.939 1.885 2.254
Pm 2.939 8.077 0.906
Pm 5.879 3.381 1.003
Pr 2.939 4.788 -0.172
```

***

# 16
Here is a geometry-optimized TbPmPrMg structure from Alexandria via LeMat-Bulk. Energies are from PBE.

```
4
Lattice="5.624 0.000 0.000 2.812 4.870 0.000 2.812 1.623 4.592" Properties=species:S:1:pos:R:3 pbc="T T T"
Pm 2.812 1.623 1.148
Mg 0.000 0.000 0.000
Tb 5.624 3.247 2.296
Pr 8.435 4.870 3.444
```

Summary:
* excess energy over the best structure of this formula in the dataset: 0.0633 eV/atom

***

# 17
Here is a geometry-optimized Tb6Pm3Pr2Mg structure from Alexandria via LeMat-Bulk. Energies are from PBE.

```
12
Lattice="6.206 -0.003 0.007 -3.104 5.374 0.007 -1.053 -1.823 11.707" Properties=species:S:1:pos:R:3 pbc="T T T"
Tb 3.083 1.780 8.800
Mg 0.000 0.000 0.000
Pr 3.101 1.790 0.007
Pm -2.083 3.569 5.861
Tb 2.068 3.580 2.942
Tb -1.034 1.769 2.921
Pm 1.025 1.774 5.861
Tb 2.049 -0.012 2.921
Pr 0.001 3.581 0.007
Tb 0.001 3.560 8.800
Pm 4.133 -0.021 5.861
Tb -0.018 -0.032 8.779
```

***

# 18
Here is a geometry-optimized TbPm6Pr2Mg structure from Alexandria via LeMat-Bulk. Energies are from PBE.

```
20
Lattice="9.061 -1.979 -2.054 0.920 8.684 -2.035 0.920 -2.355 8.602" Properties=species:S:1:pos:R:3 pbc="T T T"
Mg 3.185 1.706 3.699
Pm 4.040 7.070 1.029
Pm 8.791 -0.470 1.913
Pm 5.063 -0.919 6.077
Pm 9.593 5.118 -1.720
Pm 1.308 -0.768 6.234
Pr 5.462 4.354 3.383
Pm 4.261 2.919 0.628
Pm 2.331 4.573 -1.563
Tb 3.185 7.963 -2.331
Tb 7.716 -3.614 6.845
Pm 8.570 -0.223 6.077
Pm 5.839 5.269 -1.564
Pr 0.909 2.119 1.064
Pr 5.439 -0.004 1.131
Pr 9.992 2.230 3.449
Pm 2.110 4.820 2.601
Pm 6.862 -2.721 3.485
Pm 6.641 1.431 3.886
Mg 7.716 2.643 0.815
```

***

# 19
Here is a geometry-optimized Tb6Pm2Pr3Mg structure from Alexandria via LeMat-Bulk. Energies are from PBE.

```
12
Lattice="-6.151 0.899 -0.192 2.575 -2.867 4.882 2.539 10.995 3.794" Properties=species:S:1:pos:R:3 pbc="T T T"
Pr -3.430 5.770 2.549
Pm -0.336 -1.611 3.189
Tb 1.187 1.598 2.936
Tb 0.669 6.181 7.230
Tb 1.019 7.785 4.026
Pr -0.518 4.514 4.242
Pr 2.393 3.257 5.935
Tb -2.224 7.430 5.548
Mg 0.000 0.000 0.000
Tb -1.705 2.846 1.254
Pm -3.240 -0.357 1.500
Tb -2.056 1.243 4.458
```

***

# 20
Here is a geometry-optimized Tb3PmPrMg structure from Alexandria via LeMat-Bulk. Energies are from PBE.

```
12
Lattice="-0.414 -0.767 -5.889 9.885 -2.008 2.576 0.853 -6.984 0.849" Properties=species:S:1:pos:R:3 pbc="T T T"
Mg 9.555 -4.586 -3.083
Pr 3.698 -1.689 -3.049
Pr 6.626 -8.070 0.585
Tb 0.543 -2.067 -2.778
Tb 9.782 -7.692 0.315
Tb 3.051 -3.083 0.187
Pm 3.733 -5.220 -2.591
Tb 7.274 -6.676 -2.650
Mg 0.769 -5.173 0.620
Pm 6.591 -4.539 0.128
Tb 6.869 -2.988 -3.102
Tb 3.455 -6.771 0.639
```

***

Calculated formation energy: 0.045 0.107 0.050 0.016 0.318 0.016 0.063 0.157 0.087 0.171 0.109 0.084 -0.377 0.113 0.074 0.029 0.018 0.109 0.025 0.181 (eV/atom)
Uncorrected energy: -3.92 -4.34 -4.36 -4.48 -4.04 -4.33 -4.30 -3.96 -4.30 -4.04 -4.33 -4.32 -4.02 -4.30 -4.26 -3.91 -4.41 -4.32 -4.41 -3.99 (eV/atom)